1.
## PIrW2 (PBE)

Data for crystalline PIrW2 at its relaxed geometry.

- VASP energy (eV per atom) = -10.18
- energy of formation (eV per atom) = -0.137
- DOS(E_F) (states/eV/f.u.) = 2.389
- space-group type = Imm2 (44)

Cell: 5.236 5.236 5.236 Å, 147.77 129.91 60.82°
Sites, in units of the cell vectors:
P 0.252 0.752 0.500
Ir 0.467 0.467 0.000
W 0.037 0.037 0.000
W 0.744 0.244 0.500

2.
## TlReAg3 (PBE)

Data for crystalline TlReAg3 at its relaxed geometry.

- VASP energy (eV per atom) = -3.30
- energy of formation (eV per atom) = 1.370
- DOS(E_F) (states/eV/f.u.) = 4.158
- space-group type = Pm-3m (221)
- excess energy over the best structure of this formula in the dataset (eV/atom) = 0.000

Cell: 5.208 5.208 5.208 Å, 90.00 90.00 90.00°
Each line ends with the local moment (μB).
Sites, in units of the cell vectors:
Tl 0.500 0.500 0.500  0.00
Ag 0.000 0.000 0.500  0.16
Ag 0.500 0.000 0.000  0.07
Ag 0.000 0.500 0.000  0.10
Re 0.000 0.000 0.000  2.07

3.
## ZrTi2Sb2 (PBE)

Data for crystalline ZrTi2Sb2 at its relaxed geometry.

- VASP energy (eV per atom) = -6.99
- DOS(E_F) (states/eV/f.u.) = 2.452
- space-group type = P4/mbm (127)
- excess energy over the best structure of this formula in the dataset (eV/atom) = 0.000
- uncorrected formation energy (meV/atom) = -470

Cell: 7.622 7.622 3.542 Å, 90.00 90.00 90.00°
Sites, in units of the cell vectors:
Ti 0.647 0.853 0.500
Ti 0.353 0.147 0.500
Ti 0.147 0.647 0.500
Ti 0.853 0.353 0.500
Sb 0.853 0.647 0.000
Sb 0.147 0.353 0.000
Sb 0.647 0.147 0.000
Sb 0.353 0.853 0.000
Zr 0.000 0.000 0.000
Zr 0.500 0.500 0.000

4.
## In3C (PBE)

Data for crystalline In3C at its relaxed geometry.

- VASP energy (eV per atom) = -3.69
- energy of formation (eV per atom) = 0.673
- DOS(E_F) (states/eV/f.u.) = 0.897
- space-group type = Pmmn (59)

Cell: 3.811 6.514 7.512 Å, 90.00 90.00 90.00°
Sites, in units of the cell vectors:
In 0.000 0.737 0.151
In 0.500 0.000 0.493
In 0.500 0.237 0.849
In 0.000 0.263 0.151
In 0.500 0.763 0.849
In 0.000 0.500 0.507
C 0.000 0.000 0.346
C 0.500 0.500 0.654

5.
## Y5HoCd6 (PBE)

Data for crystalline Y5HoCd6 at its relaxed geometry.

- VASP energy (eV per atom) = -3.88
- energy of formation (eV per atom) = -0.349
- DOS(E_F) (states/eV/f.u.) = 12.377
- space-group type = P2/m (10)

Cell: 5.290 7.503 8.374 Å, 90.00 71.75 89.99°
Sites, in units of the cell vectors:
Cd 0.500 0.249 0.000
Cd 0.834 0.249 0.332
Cd 0.166 0.751 0.668
Cd 0.834 0.751 0.332
Cd 0.166 0.249 0.668
Cd 0.500 0.751 0.000
Y 0.333 0.500 0.334
Y 0.667 0.500 0.666
Y 0.667 0.000 0.667
Y 0.333 0.000 0.333
Y 0.000 0.500 0.000
Ho 0.000 0.000 0.000

6.
## InAuS3 (PBE)

Data for crystalline InAuS3 at its relaxed geometry.

- VASP energy (eV per atom) = -3.20
- DOS(E_F) (states/eV/f.u.) = 5.542
- space-group type = Pm-3m (221)
- excess energy over the best structure of this formula in the dataset (eV/atom) = 0.000
- uncorrected formation energy (meV/atom) = 481

Cell: 4.874 4.874 4.874 Å, 90.00 90.00 90.00°
Sites, in units of the cell vectors:
S 0.500 0.000 0.000
S 0.000 0.000 0.500
S 0.000 0.500 0.000
Au 0.000 0.000 0.000
In 0.500 0.500 0.500

7.
## CdPd2W (PBE)

Data for crystalline CdPd2W at its relaxed geometry.

- VASP energy (eV per atom) = -6.19
- energy of formation (eV per atom) = -0.127
- DOS(E_F) (states/eV/f.u.) = 2.732
- space-group type = P4/mmm (123)

Cell: 2.835 2.835 8.140 Å, 90.00 90.00 90.00°
Sites, in units of the cell vectors:
Pd 0.000 0.000 0.736
Pd 0.000 0.000 0.264
W 0.500 0.500 0.500
Cd 0.500 0.500 0.000

8.
## Ac2Tb3Er6 (PBE)

Data for crystalline Ac2Tb3Er6 at its relaxed geometry.

- VASP energy (eV per atom) = -4.31
- energy of formation (eV per atom) = 0.193
- DOS(E_F) (states/eV/f.u.) = 16.302
- space-group type = C2/m (12)

Cell: 6.166 6.168 11.918 Å, 85.06 80.07 60.01°
Sites, in units of the cell vectors:
Ac 0.833 0.334 0.500
Ac 0.167 0.666 0.500
Tb 0.000 0.000 0.000
Tb 0.665 0.670 0.000
Tb 0.335 0.330 0.000
Er 0.919 0.667 0.240
Er 0.254 0.000 0.240
Er 0.081 0.333 0.760
Er 0.413 0.667 0.760
Er 0.746 0.000 0.760
Er 0.587 0.333 0.240

9.
## PPbBrO2 (PBE)

Data for crystalline PPbBrO2 at its relaxed geometry.

- VASP energy (eV per atom) = -3.86
- DOS(E_F) (states/eV/f.u.) = 5.622
- space-group type = P4/mmm (123)
- uncorrected formation energy (meV/atom) = 278

Cell: 4.133 4.133 6.073 Å, 90.00 90.00 90.00°
Each line ends with the local moment (μB).
Sites, in units of the cell vectors:
Pb 0.000 0.000 0.000  -0.01
P 0.000 0.000 0.500  0.12
O 0.000 0.500 0.000  0.25
O 0.500 0.000 0.000  0.25
Br 0.500 0.500 0.500  -0.01

10.
## Zn2NiTe (PBE)

Data for crystalline Zn2NiTe at its relaxed geometry.

- VASP energy (eV per atom) = -2.62
- DOS(E_F) (states/eV/f.u.) = 2.095
- space-group type = F-43m (216)
- excess energy over the best structure of this formula in the dataset (eV/atom) = 0.286
- uncorrected formation energy (meV/atom) = 246

Cell: 4.613 4.613 4.613 Å, 60.00 60.00 60.00°
Sites, in units of the cell vectors:
Zn 0.250 0.250 0.250
Zn 0.000 0.000 0.000
Ni 0.500 0.500 0.500
Te 0.750 0.750 0.750

11.
## Tb2PuAl (PBE)

Data for crystalline Tb2PuAl at its relaxed geometry.

- VASP energy (eV per atom) = -6.91
- energy of formation (eV per atom) = -0.077
- DOS(E_F) (states/eV/f.u.) = 10.771
- space-group type = P4/mmm (123)
- excess energy over the best structure of this formula in the dataset (eV/atom) = 0.026

Cell: 4.556 4.796 4.796 Å, 90.00 90.00 90.00°
Each line ends with the local moment (μB).
Sites, in units of the cell vectors:
Pu 0.500 0.500 0.500  5.51
Tb 0.000 0.500 0.000  0.27
Tb 0.000 0.000 0.500  0.27
Al 0.500 0.000 0.000  -0.03

12.
## YCr4In (PBE)

Data for crystalline YCr4In at its relaxed geometry.

- VASP energy (eV per atom) = -7.65
- energy of formation (eV per atom) = 0.304
- DOS(E_F) (states/eV/f.u.) = 9.980
- space-group type = F-43m (216)

Cell: 5.107 5.107 5.107 Å, 60.00 60.00 60.00°
Sites, in units of the cell vectors:
In 0.750 0.750 0.750
Y 0.000 0.000 0.000
Cr 0.376 0.376 0.871
Cr 0.871 0.376 0.376
Cr 0.376 0.871 0.376
Cr 0.376 0.376 0.376

13.
## Ti3Al3Re2 (PBE)

Data for crystalline Ti3Al3Re2 at its relaxed geometry.

- VASP energy (eV per atom) = -7.69
- energy of formation (eV per atom) = -0.216
- DOS(E_F) (states/eV/f.u.) = 7.118
- space-group type = P-62m (189)

Cell: 3.137 6.974 6.974 Å, 120.00 90.00 90.00°
Sites, in units of the cell vectors:
Ti 0.500 0.414 0.414
Ti 0.500 0.586 0.000
Ti 0.500 0.000 0.586
Re 0.000 0.667 0.333
Re 0.000 0.333 0.667
Al 0.000 0.764 0.764
Al 0.000 0.000 0.236
Al 0.000 0.236 0.000

14.
## Ca3MgP (PBE)

Data for crystalline Ca3MgP at its relaxed geometry.

- VASP energy (eV per atom) = -2.74
- energy of formation (eV per atom) = -0.134
- DOS(E_F) (states/eV/f.u.) = 3.202
- space-group type = P4mm (99)
- excess energy over the best structure of this formula in the dataset (eV/atom) = 0.433

Cell: 4.561 4.561 8.797 Å, 90.00 90.00 90.00°
Sites, in units of the cell vectors:
P 0.500 0.500 0.608
Mg 0.000 0.000 0.112
Ca 0.000 0.500 0.408
Ca 0.500 0.000 0.408
Ca 0.000 0.000 0.728

15.
## Sr2BeGe3 (PBE)

Data for crystalline Sr2BeGe3 at its relaxed geometry.

- VASP energy (eV per atom) = -3.93
- energy of formation (eV per atom) = -0.443
- DOS(E_F) (states/eV/f.u.) = 2.311
- space-group type = Pmm2 (25)
- excess energy over the best structure of this formula in the dataset (eV/atom) = 0.019

Cell: 4.728 4.162 7.174 Å, 90.00 90.00 90.00°
Sites, in units of the cell vectors:
Sr 0.000 0.500 0.998
Sr 0.000 0.000 0.506
Ge 0.500 0.500 0.640
Ge 0.500 0.000 0.839
Ge 0.500 0.000 0.194
Be 0.500 0.500 0.324

16.
## ReI2OF (PBE)

Data for crystalline ReI2OF at its relaxed geometry.

- VASP energy (eV per atom) = -3.10
- DOS(E_F) (states/eV/f.u.) = 4.821
- space-group type = P4/mmm (123)
- excess energy over the best structure of this formula in the dataset (eV/atom) = 1.706
- uncorrected formation energy (meV/atom) = 1372

Cell: 5.196 5.196 3.488 Å, 90.00 90.00 90.00°
Each line ends with the local moment (μB).
Sites, in units of the cell vectors:
I 0.500 0.000 0.000  -0.08
I 0.000 0.500 0.000  -0.08
Re 0.500 0.500 0.500  1.97
F 0.000 0.000 0.000  -0.02
O 0.000 0.000 0.500  0.03

17.
## Th2Zn3Cu4 (PBE)

Data for crystalline Th2Zn3Cu4 at its relaxed geometry.

- VASP energy (eV per atom) = -4.04
- energy of formation (eV per atom) = -0.151
- DOS(E_F) (states/eV/f.u.) = 5.117
- space-group type = Cmce (64)

Cell: 5.624 7.480 8.138 Å, 90.00 110.21 90.00°
Sites, in units of the cell vectors:
Th 0.112 0.587 0.223
Th 0.388 0.087 0.777
Th 0.888 0.413 0.777
Th 0.612 0.913 0.223
Zn 0.975 0.250 0.450
Zn 0.025 0.750 0.550
Zn 0.500 0.500 0.000
Zn 0.525 0.750 0.550
Zn 0.475 0.250 0.450
Zn 0.000 0.000 0.000
Cu 0.309 0.250 0.118
Cu 0.809 0.250 0.118
Cu 0.178 0.983 0.355
Cu 0.822 0.017 0.645
Cu 0.322 0.483 0.645
Cu 0.691 0.750 0.882
Cu 0.191 0.750 0.882
Cu 0.678 0.517 0.355

18.
## Cs2TiIrCl6 (PBE)

Data for crystalline Cs2TiIrCl6 at its relaxed geometry.

- VASP energy (eV per atom) = -4.11
- DOS(E_F) (states/eV/f.u.) = 13.490
- space-group type = I4/mmm (139)
- uncorrected formation energy (meV/atom) = -1160

Cell: 7.217 7.217 7.201 Å, 59.93 59.93 90.00°
Each line ends with the local moment (μB).
Sites, in units of the cell vectors:
Cl 0.256 0.256 0.000  0.02
Cl 0.252 0.252 0.496  0.02
Cl 0.256 0.744 0.000  0.02
Cl 0.744 0.744 0.000  0.02
Cl 0.748 0.748 0.504  0.02
Cl 0.744 0.256 0.000  0.02
Cs 0.250 0.750 0.500  0.00
Cs 0.750 0.250 0.500  0.00
Ti 0.500 0.500 0.000  1.23
Ir 0.000 0.000 0.000  1.36

19.
## BeCdCl2 (PBE)

Data for crystalline BeCdCl2 at its relaxed geometry.

- VASP energy (eV per atom) = -1.97
- DOS(E_F) (states/eV/f.u.) = 2.327
- space-group type = P-1 (2)
- excess energy over the best structure of this formula in the dataset (eV/atom) = 1.015
- uncorrected formation energy (meV/atom) = 109

Cell: 5.010 4.994 4.976 Å, 64.76 81.61 115.10°
Sites, in units of the cell vectors:
Cl 0.500 0.000 0.500
Cl 0.000 0.000 0.000
Cd 0.500 0.500 0.000
Be 0.000 0.500 0.500

20.
## NaLaTcH2 (PBE)

Data for crystalline NaLaTcH2 at its relaxed geometry.

- VASP energy (eV per atom) = -3.88
- DOS(E_F) (states/eV/f.u.) = 4.358
- space-group type = P4/mmm (123)

Cell: 4.030 4.921 4.030 Å, 90.00 90.00 90.00°
Each line ends with the local moment (μB).
Sites, in units of the cell vectors:
Tc 0.000 0.000 0.000  0.32
H 0.000 0.000 0.500  -0.01
H 0.500 0.000 0.000  0.00
Na 0.000 0.500 0.000  0.02
La 0.500 0.500 0.500  0.11

21.
## GeTe2MoI (PBE)

Data for crystalline GeTe2MoI at its relaxed geometry.

- VASP energy (eV per atom) = -4.03
- DOS(E_F) (states/eV/f.u.) = 4.653
- space-group type = P4/mmm (123)
- excess energy over the best structure of this formula in the dataset (eV/atom) = 0.000
- uncorrected formation energy (meV/atom) = 630

Cell: 5.326 5.326 5.587 Å, 90.00 90.00 90.00°
Each line ends with the local moment (μB).
Sites, in units of the cell vectors:
Ge 0.500 0.500 0.500  0.39
I 0.000 0.000 0.500  0.04
Mo 0.000 0.000 0.000  1.48
Te 0.500 0.000 0.000  -0.06
Te 0.000 0.500 0.000  -0.06

22.
## Ba2CeUS6 (PBE)

Data for crystalline Ba2CeUS6 at its relaxed geometry.

- VASP energy (eV per atom) = -6.44
- DOS(E_F) (states/eV/f.u.) = 9.366
- space-group type = P2_1/c (14)
- uncorrected formation energy (meV/atom) = -1852

Cell: 7.283 7.564 10.450 Å, 90.00 90.16 90.00°
Each line ends with the local moment (μB).
Sites, in units of the cell vectors:
U 0.500 0.000 0.500  1.52
U 0.000 0.500 0.000  1.52
S 0.197 0.211 0.049  -0.04
S 0.411 0.976 0.743  -0.04
S 0.290 0.698 0.046  -0.04
S 0.803 0.789 0.951  -0.04
S 0.790 0.802 0.546  -0.04
S 0.089 0.476 0.757  -0.04
S 0.697 0.289 0.549  -0.04
S 0.210 0.198 0.454  -0.04
S 0.911 0.524 0.243  -0.04
S 0.710 0.302 0.954  -0.04
S 0.589 0.024 0.257  -0.04
S 0.303 0.711 0.451  -0.04
Ce 0.000 0.500 0.500  0.66
Ce 0.500 0.000 0.000  0.66
Ba 0.017 0.939 0.250  0.00
Ba 0.517 0.561 0.750  0.00
Ba 0.983 0.061 0.750  0.00
Ba 0.483 0.439 0.250  0.00

23.
## NaFe2Bi (PBE)

Data for crystalline NaFe2Bi at its relaxed geometry.

- VASP energy (eV per atom) = -4.65
- energy of formation (eV per atom) = 0.880
- DOS(E_F) (states/eV/f.u.) = 2.515
- space-group type = I-42d (122)

Cell: 7.701 7.701 6.132 Å, 51.10 51.10 90.00°
Each line ends with the local moment (μB).
Sites, in units of the cell vectors:
Bi 0.000 0.000 0.000  -0.02
Bi 0.750 0.250 0.500  -0.02
Na 0.250 0.750 0.500  -0.01
Na 0.500 0.500 0.000  -0.01
Fe 0.375 0.357 0.750  2.90
Fe 0.107 0.625 0.250  2.85
Fe 0.875 0.893 0.750  2.87
Fe 0.643 0.125 0.250  2.88

24.
## LiTmAgGe (PBE)

Data for crystalline LiTmAgGe at its relaxed geometry.

- VASP energy (eV per atom) = -3.90
- energy of formation (eV per atom) = -0.440
- DOS(E_F) (states/eV/f.u.) = 2.090
- space-group type = F-43m (216)

Cell: 4.790 4.790 4.790 Å, 60.00 60.00 60.00°
Sites, in units of the cell vectors:
Li 0.500 0.500 0.500
Ag 0.250 0.250 0.250
Ge 0.750 0.750 0.750
Tm 0.000 0.000 0.000

25.
## Pu3Si2N6 (PBE)

Data for crystalline Pu3Si2N6 at its relaxed geometry.

- VASP energy (eV per atom) = -10.46
- DOS(E_F) (states/eV/f.u.) = 14.818
- space-group type = I4/mmm (139)
- uncorrected formation energy (meV/atom) = -1020

Cell: 3.662 3.662 9.860 Å, 100.70 100.70 90.00°
Each line ends with the local moment (μB).
Sites, in units of the cell vectors:
N 0.914 0.414 0.828  -0.01
N 0.303 0.303 0.606  -0.16
N 0.697 0.697 0.394  -0.16
N 0.586 0.086 0.172  -0.01
N 0.414 0.914 0.828  -0.01
N 0.086 0.586 0.172  -0.01
Pu 0.000 0.000 0.000  -4.58
Pu 0.819 0.819 0.638  4.67
Pu 0.181 0.181 0.362  4.67
Si 0.602 0.602 0.204  -0.01
Si 0.398 0.398 0.796  -0.01